A relaxed LiPu2Se4 crystal, computed with GGA-PBE.

The structure belongs to space group C2/m (No. 12); the cell edges are 14.8040, 4.1207 and 7.1961 Å and the angles 90.00°, 118.61° and 90.00°. Symmetry generates all atoms from Li at (0.0000, 0.0000, 0.0000), Pu at (0.2345, 0.5000, 0.7313), Se at (0.1265, 0.0000, 0.4380) and Se at (0.1357, 0.5000, 0.9906).

Its calculated volume is 385.4 Å³ per cell. As for the energy above the most stable polymorph in this dataset: 6 meV per atom.

***

A relaxed LiPuSe2 crystal, computed with GGA-PBE.

The structure belongs to space group R3m (No. 160, hexagonal axes); the cell edges are 4.0947, 4.0947 and 20.4673 Å and the angles 90.00°, 90.00° and 120.00°. Symmetry generates all atoms from Li at (0.0000, 0.0000, 0.0000), Pu at (0.0000, 0.0000, 0.1783), Se at (0.0000, 0.0000, 0.5933) and Se at (0.0000, 0.0000, 0.7654).

Its calculated volume is 297.2 Å³ per cell.

***

A relaxed LiPuSe2 crystal, computed with GGA-PBE.

The structure belongs to space group Pmmn (No. 59, origin choice 2); the cell edges are 4.1239, 5.7095 and 8.1057 Å and the angles 90.00°, 90.00° and 90.00°. Symmetry generates all atoms from Li at (0.2500, 0.2500, 0.1103), Pu at (0.2500, 0.2500, 0.6469), Se at (0.2500, 0.7500, 0.1139) and Se at (0.2500, 0.7500, 0.6103).

Its calculated volume is 190.9 Å³ per cell.

***

| no. | uncorrected formation energy (eV per atom) | uncorrected energy (eV per atom) | M_tot (Bohr magnetons per cell) |
| --- | --- | --- | --- |
| 1 | -1.3245 | -7.684 | 18.00 |
| 2 | -1.3572 | -7.161 | 15.00 |
| 3 | -1.4013 | -7.205 | 10.00 |